No. 1
Compound: MnFe2Mo
Source: Alexandria
Functional: meta-GGA SCAN
Structure: single point on PBEsol structure

Structure (CIF):
```
data_MnFe2Mo
_space_group_name_H-M_alt 'P 1'
_space_group_IT_number 1
_cell_length_a 5.7500
_cell_length_b 5.7500
_cell_length_c 5.7500
_cell_angle_alpha 90.00
_cell_angle_beta 90.00
_cell_angle_gamma 90.00
loop_
_space_group_symop_operation_xyz
'x,y,z'
loop_
_atom_site_label
_atom_site_type_symbol
_atom_site_fract_x
_atom_site_fract_y
_atom_site_fract_z
Mn1 Mn 0.0000 0.0000 0.0000
Mn2 Mn 0.0000 0.5000 0.5000
Mn3 Mn 0.5000 0.0000 0.5000
Mn4 Mn 0.5000 0.5000 0.0000
Fe1 Fe 0.0000 0.0000 0.5000
Fe2 Fe 0.0000 0.5000 0.0000
Fe3 Fe 0.2500 0.2500 0.2500
Fe4 Fe 0.2500 0.7500 0.7500
Fe5 Fe 0.5000 0.0000 0.0000
Fe6 Fe 0.5000 0.5000 0.5000
Fe7 Fe 0.7500 0.2500 0.7500
Fe8 Fe 0.7500 0.7500 0.2500
Mo1 Mo 0.2500 0.2500 0.7500
Mo2 Mo 0.2500 0.7500 0.2500
Mo3 Mo 0.7500 0.2500 0.2500
Mo4 Mo 0.7500 0.7500 0.7500
```

Energy above the most stable polymorph in this dataset, meV per atom: 12.5
Crystal system: cubic
D(E_F), states/eV per cell: 9.2
VASP energy, eV per formula unit: -89.174
DFT formation energy, meV/atom: 56.3

=====

No. 2
Compound: Mn2FeMo
Source: Alexandria
Functional: meta-GGA SCAN
Structure: single point on PBEsol structure

Structure (CIF):
```
data_Mn2FeMo
_space_group_name_H-M_alt 'P 1'
_space_group_IT_number 1
_cell_length_a 5.0124
_cell_length_b 8.1623
_cell_length_c 2.5164
_cell_angle_alpha 90.00
_cell_angle_beta 111.94
_cell_angle_gamma 90.00
loop_
_space_group_symop_operation_xyz
'x,y,z'
loop_
_atom_site_label
_atom_site_type_symbol
_atom_site_fract_x
_atom_site_fract_y
_atom_site_fract_z
Mn1 Mn 0.2500 0.2500 0.0000
Mn2 Mn 0.2500 0.7500 0.0000
Mn3 Mn 0.7500 0.2500 0.0000
Mn4 Mn 0.7500 0.7500 0.0000
Fe1 Fe 0.0000 0.0000 0.5000
Fe2 Fe 0.5000 0.5000 0.5000
Mo1 Mo 0.0000 0.5000 0.5000
Mo2 Mo 0.5000 0.0000 0.5000
```

Crystal system: monoclinic
D(E_F), states/eV per cell: 6.7
VASP energy, eV per formula unit: -88.890
DFT formation energy, meV/atom: 158.7

=====

No. 3
Compound: MnFe2Mo
Source: Alexandria
Functional: meta-GGA SCAN
Structure: single point on PBEsol structure

Structure (CIF):
```
data_MnFe2Mo
_space_group_name_H-M_alt 'P 1'
_space_group_IT_number 1
_cell_length_a 5.7494
_cell_length_b 5.7494
_cell_length_c 5.7494
_cell_angle_alpha 90.00
_cell_angle_beta 90.00
_cell_angle_gamma 90.00
loop_
_space_group_symop_operation_xyz
'x,y,z'
loop_
_atom_site_label
_atom_site_type_symbol
_atom_site_fract_x
_atom_site_fract_y
_atom_site_fract_z
Mn1 Mn 0.0000 0.0000 0.0000
Mn2 Mn 0.0000 0.5000 0.5000
Mn3 Mn 0.5000 0.0000 0.5000
Mn4 Mn 0.5000 0.5000 0.0000
Fe1 Fe 0.2500 0.2500 0.2500
Fe2 Fe 0.2500 0.2500 0.7500
Fe3 Fe 0.2500 0.7500 0.2500
Fe4 Fe 0.2500 0.7500 0.7500
Fe5 Fe 0.7500 0.2500 0.2500
Fe6 Fe 0.7500 0.2500 0.7500
Fe7 Fe 0.7500 0.7500 0.2500
Fe8 Fe 0.7500 0.7500 0.7500
Mo1 Mo 0.0000 0.0000 0.5000
Mo2 Mo 0.0000 0.5000 0.0000
Mo3 Mo 0.5000 0.0000 0.0000
Mo4 Mo 0.5000 0.5000 0.5000
```

Energy above the most stable polymorph in this dataset, meV per atom: 2.7
Crystal system: cubic
D(E_F), states/eV per cell: 8.5
VASP energy, eV per formula unit: -89.213
DFT formation energy, meV/atom: 46.5

=====

No. 4
Compound: MnFe2Mo
Source: Alexandria
Functional: meta-GGA SCAN
Structure: single point on PBEsol structure

Structure (CIF):
```
data_MnFe2Mo
_space_group_name_H-M_alt 'P 1'
_space_group_IT_number 1
_cell_length_a 2.9780
_cell_length_b 3.9456
_cell_length_c 8.1557
_cell_angle_alpha 90.00
_cell_angle_beta 90.00
_cell_angle_gamma 90.00
loop_
_space_group_symop_operation_xyz
'x,y,z'
loop_
_atom_site_label
_atom_site_type_symbol
_atom_site_fract_x
_atom_site_fract_y
_atom_site_fract_z
Mn1 Mn 0.0000 0.0000 0.0000
Mn2 Mn 0.5000 0.5000 0.5000
Fe1 Fe 0.0000 0.5000 0.2522
Fe2 Fe 0.0000 0.5000 0.7478
Fe3 Fe 0.5000 0.0000 0.2478
Fe4 Fe 0.5000 0.0000 0.7522
Mo1 Mo 0.0000 0.0000 0.5000
Mo2 Mo 0.5000 0.5000 0.0000
```

Energy above the most stable polymorph in this dataset, meV per atom: 0.0
Crystal system: orthorhombic
D(E_F), states/eV per cell: 4.2
VASP energy, eV per formula unit: -89.224
DFT formation energy, meV/atom: 43.8

=====

No. 5
Compound: Mn8Fe3N8
Source: Alexandria
Functional: meta-GGA SCAN
Structure: single point on PBEsol structure

Structure (CIF):
```
data_Mn8Fe3N8
_space_group_name_H-M_alt 'P 1'
_space_group_IT_number 1
_cell_length_a 7.3404
_cell_length_b 7.3404
_cell_length_c 6.2402
_cell_angle_alpha 105.11
_cell_angle_beta 105.11
_cell_angle_gamma 31.31
loop_
_space_group_symop_operation_xyz
'x,y,z'
loop_
_atom_site_label
_atom_site_type_symbol
_atom_site_fract_x
_atom_site_fract_y
_atom_site_fract_z
Mn1 Mn 0.0440 0.0440 0.2267
Mn2 Mn 0.1427 0.1427 0.6939
Mn3 Mn 0.3191 0.3191 0.5832
Mn4 Mn 0.4034 0.4034 0.0359
Mn5 Mn 0.5966 0.5966 0.9641
Mn6 Mn 0.6809 0.6809 0.4168
Mn7 Mn 0.8573 0.8573 0.3061
Mn8 Mn 0.9560 0.9560 0.7733
Fe1 Fe 0.2261 0.2261 0.1438
Fe2 Fe 0.5000 0.5000 0.5000
Fe3 Fe 0.7739 0.7739 0.8562
N1 N 0.0946 0.0946 0.9597
N2 N 0.1805 0.1805 0.4141
N3 N 0.3615 0.3615 0.3107
N4 N 0.4571 0.4571 0.7691
N5 N 0.5429 0.5429 0.2309
N6 N 0.6385 0.6385 0.6893
N7 N 0.8195 0.8195 0.5859
N8 N 0.9054 0.9054 0.0403
```

Crystal system: monoclinic
Energy relative to the elements, uncorrected, eV per atom: -0.448
D(E_F), states/eV per cell: 9.9
VASP energy, eV per formula unit: -283.279

=====

No. 6
Compound: MnFeN2
Source: Alexandria
Functional: meta-GGA SCAN
Structure: single point on PBEsol structure

Structure (CIF):
```
data_MnFeN2
_space_group_name_H-M_alt 'P 1'
_space_group_IT_number 1
_cell_length_a 4.1968
_cell_length_b 4.1968
_cell_length_c 8.3734
_cell_angle_alpha 90.00
_cell_angle_beta 90.00
_cell_angle_gamma 90.00
loop_
_space_group_symop_operation_xyz
'x,y,z'
loop_
_atom_site_label
_atom_site_type_symbol
_atom_site_fract_x
_atom_site_fract_y
_atom_site_fract_z
Mn1 Mn 0.0000 0.0000 0.0000
Mn2 Mn 0.0000 0.5000 0.2500
Mn3 Mn 0.5000 0.0000 0.7500
Mn4 Mn 0.5000 0.5000 0.5000
Fe1 Fe 0.0000 0.0000 0.5000
Fe2 Fe 0.0000 0.5000 0.7500
Fe3 Fe 0.5000 0.0000 0.2500
Fe4 Fe 0.5000 0.5000 0.0000
N1 N 0.2480 0.2500 0.1250
N2 N 0.2500 0.7480 0.3750
N3 N 0.2500 0.7520 0.8750
N4 N 0.2520 0.2500 0.6250
N5 N 0.7480 0.7500 0.6250
N6 N 0.7500 0.2480 0.8750
N7 N 0.7500 0.2520 0.3750
N8 N 0.7520 0.7500 0.1250
```

Crystal system: tetragonal
Energy relative to the elements, uncorrected, eV per atom: -0.299
D(E_F), states/eV per cell: 8.6
VASP energy, eV per formula unit: -56.164

=====

No. 7
Compound: Mn9Fe2N8
Source: Alexandria
Functional: meta-GGA SCAN
Structure: single point on PBEsol structure

Structure (CIF):
```
data_Mn9Fe2N8
_space_group_name_H-M_alt 'P 1'
_space_group_IT_number 1
_cell_length_a 7.3206
_cell_length_b 7.3206
_cell_length_c 6.3596
_cell_angle_alpha 106.66
_cell_angle_beta 106.66
_cell_angle_gamma 31.72
loop_
_space_group_symop_operation_xyz
'x,y,z'
loop_
_atom_site_label
_atom_site_type_symbol
_atom_site_fract_x
_atom_site_fract_y
_atom_site_fract_z
Mn1 Mn 0.0000 0.0000 0.0000
Mn2 Mn 0.0980 0.0980 0.4721
Mn3 Mn 0.1779 0.1779 0.9254
Mn4 Mn 0.3524 0.3524 0.7867
Mn5 Mn 0.4569 0.4569 0.2763
Mn6 Mn 0.5431 0.5431 0.7237
Mn7 Mn 0.6476 0.6476 0.2133
Mn8 Mn 0.8221 0.8221 0.0746
Mn9 Mn 0.9020 0.9020 0.5279
Fe1 Fe 0.2805 0.2805 0.3179
Fe2 Fe 0.7195 0.7195 0.6821
N1 N 0.0426 0.0426 0.7330
N2 N 0.1426 0.1426 0.2057
N3 N 0.3218 0.3218 0.0685
N4 N 0.4012 0.4012 0.5353
N5 N 0.5988 0.5988 0.4647
N6 N 0.6782 0.6782 0.9315
N7 N 0.8574 0.8574 0.7943
N8 N 0.9574 0.9574 0.2670
```

Crystal system: monoclinic
Energy relative to the elements, uncorrected, eV per atom: -0.478
D(E_F), states/eV per cell: 8.7
VASP energy, eV per formula unit: -283.961

=====

No. 8
Compound: MnFeRh2N
Source: Alexandria
Functional: meta-GGA SCAN
Structure: single point on PBEsol structure

Structure (CIF):
```
data_MnFeRh2N
_space_group_name_H-M_alt 'P 1'
_space_group_IT_number 1
_cell_length_a 4.0193
_cell_length_b 4.0193
_cell_length_c 3.6953
_cell_angle_alpha 90.00
_cell_angle_beta 90.00
_cell_angle_gamma 90.00
loop_
_space_group_symop_operation_xyz
'x,y,z'
loop_
_atom_site_label
_atom_site_type_symbol
_atom_site_fract_x
_atom_site_fract_y
_atom_site_fract_z
Mn1 Mn 0.0000 0.0000 0.0000
Fe1 Fe 0.5000 0.5000 0.0000
Rh1 Rh 0.0000 0.5000 0.5000
Rh2 Rh 0.5000 0.0000 0.5000
N1 N 0.5000 0.5000 0.5000
```

Crystal system: tetragonal
Energy relative to the elements, uncorrected, eV per atom: -0.132
D(E_F), states/eV per cell: 4.8
VASP energy, eV per formula unit: -113.879

=====

No. 9
Compound: MnFeS2N
Source: Alexandria
Functional: meta-GGA SCAN
Structure: single point on PBEsol structure

Structure (CIF):
```
data_MnFeS2N
_space_group_name_H-M_alt 'P 1'
_space_group_IT_number 1
_cell_length_a 4.5714
_cell_length_b 4.5714
_cell_length_c 3.3911
_cell_angle_alpha 90.00
_cell_angle_beta 90.00
_cell_angle_gamma 90.00
loop_
_space_group_symop_operation_xyz
'x,y,z'
loop_
_atom_site_label
_atom_site_type_symbol
_atom_site_fract_x
_atom_site_fract_y
_atom_site_fract_z
Mn1 Mn 0.0000 0.0000 0.0000
Fe1 Fe 0.5000 0.5000 0.5000
S1 S 0.0000 0.5000 0.0000
S2 S 0.5000 0.0000 0.0000
N1 N 0.0000 0.0000 0.5000
```

Crystal system: tetragonal
Energy relative to the elements, uncorrected, eV per atom: 0.234
D(E_F), states/eV per cell: 1.6
VASP energy, eV per formula unit: -63.763

=====

No. 10
Compound: Sr8Mn2FeN8
Source: Alexandria
Functional: meta-GGA SCAN
Structure: single point on PBEsol structure

Structure (CIF):
```
data_Sr8Mn2FeN8
_space_group_name_H-M_alt 'P 1'
_space_group_IT_number 1
_cell_length_a 9.6392
_cell_length_b 9.6392
_cell_length_c 7.4222
_cell_angle_alpha 105.13
_cell_angle_beta 105.13
_cell_angle_gamma 31.65
loop_
_space_group_symop_operation_xyz
'x,y,z'
loop_
_atom_site_label
_atom_site_type_symbol
_atom_site_fract_x
_atom_site_fract_y
_atom_site_fract_z
Sr1 Sr 0.0280 0.0280 0.2629
Sr2 Sr 0.1997 0.1997 0.8047
Sr3 Sr 0.3339 0.3339 0.5317
Sr4 Sr 0.4040 0.4040 0.0323
Sr5 Sr 0.5960 0.5960 0.9677
Sr6 Sr 0.6661 0.6661 0.4683
Sr7 Sr 0.8003 0.8003 0.1953
Sr8 Sr 0.9720 0.9720 0.7371
Mn1 Mn 0.1874 0.1874 0.2058
Mn2 Mn 0.8126 0.8126 0.7942
Fe1 Fe 0.5000 0.5000 0.5000
N1 N 0.1078 0.1078 0.0163
N2 N 0.1784 0.1784 0.4277
N3 N 0.2751 0.2751 0.1691
N4 N 0.4747 0.4747 0.7190
N5 N 0.5253 0.5253 0.2810
N6 N 0.7249 0.7249 0.8309
N7 N 0.8216 0.8216 0.5723
N8 N 0.8922 0.8922 0.9837
```

Crystal system: monoclinic
Energy relative to the elements, uncorrected, eV per atom: -0.905
D(E_F), states/eV per cell: 4.9
VASP energy, eV per formula unit: -324.359